Record 1
Ac2Nd4Dy7: optimized geometry, PBE.

Results
- Calculated density: 7.86 Mg/m³
- Symmetry: P-31m, No. 162
- Crystal system: trigonal

Geometry as POSCAR:
```
Ac2Nd4Dy7
1.0
6.237 0.000 0.000
-3.118 5.401 0.000
0.000 0.000 13.592
Ac Nd Dy
2 4 7
direct
0.333 0.667 0.000
0.667 0.333 0.000
0.000 0.000 0.393
0.000 0.000 0.607
0.333 0.667 0.500
0.667 0.333 0.500
0.000 0.000 0.000
0.000 0.353 0.783
0.000 0.647 0.217
0.353 0.000 0.783
0.353 0.353 0.217
0.647 0.000 0.217
0.647 0.647 0.783
```

***

Record 2
Ac2Nd2Dy5: optimized geometry, PBE.

Results
- Calculated density: 7.76 Mg/m³
- Symmetry: C2/m, No. 12
- Crystal system: monoclinic

Geometry as POSCAR:
```
Ac2Nd2Dy5
1.0
11.080 -1.815 0.000
11.080 1.815 0.000
-1.247 0.000 8.276
Ac Nd Dy
2 2 5
direct
0.183 0.183 0.135
0.817 0.817 0.865
0.452 0.452 0.649
0.548 0.548 0.351
0.000 0.000 0.000
0.094 0.094 0.723
0.310 0.310 0.471
0.690 0.690 0.529
0.906 0.906 0.277
```

***

Record 3
Ac2Nd3Dy: optimized geometry, PBE.

Results
- Calculated density: 7.72 Mg/m³
- Symmetry: C2/m, No. 12
- Crystal system: monoclinic

Geometry as POSCAR:
```
Ac2Nd3Dy
1.0
7.975 -2.671 0.000
7.975 2.671 0.000
-5.273 0.000 10.603
Ac Nd Dy
4 6 2
direct
0.036 0.036 0.368
0.291 0.291 0.631
0.709 0.709 0.369
0.964 0.964 0.632
0.125 0.125 0.120
0.210 0.210 0.879
0.454 0.454 0.117
0.546 0.546 0.883
0.790 0.790 0.121
0.875 0.875 0.880
0.374 0.374 0.370
0.626 0.626 0.630
```

***

Record 4
Ac2Nd6Dy: optimized geometry, PBE.

Results
- Calculated density: 7.34 Mg/m³
- Symmetry: P-6m2, No. 187
- Crystal system: hexagonal
- Energy above the lowest structure with this stoichiometry: 0.000 eV per atom

Geometry as POSCAR:
```
Ac2Nd6Dy
1.0
3.746 0.000 0.000
-1.873 3.244 0.000
0.000 0.000 27.580
Ac Nd Dy
2 6 1
direct
0.000 0.000 0.173
0.000 0.000 0.827
0.000 0.000 0.396
0.000 0.000 0.604
0.667 0.333 0.062
0.667 0.333 0.289
0.667 0.333 0.711
0.667 0.333 0.938
0.667 0.333 0.500
```

***

Record 5
Ac2NdDy4: optimized geometry, PBE.

Results
- Calculated density: 8.08 Mg/m³
- Symmetry: Pbam, No. 55
- Crystal system: orthorhombic

Geometry as POSCAR:
```
Ac2NdDy4
1.0
6.536 0.000 0.000
0.000 13.373 0.000
0.000 0.000 5.866
Ac Nd Dy
4 2 8
direct
0.181 0.178 0.000
0.319 0.678 0.000
0.681 0.322 0.000
0.819 0.822 0.000
0.000 0.000 0.500
0.500 0.500 0.500
0.005 0.334 0.500
0.198 0.432 0.000
0.302 0.932 0.000
0.495 0.834 0.500
0.505 0.166 0.500
0.698 0.068 0.000
0.802 0.568 0.000
0.995 0.666 0.500
```

***

Record 6
AcNd6Dy2: optimized geometry, PBE.

Results
- Calculated density: 7.44 Mg/m³
- Symmetry: Ibam, No. 72
- Crystal system: orthorhombic
- Energy above the lowest structure with this stoichiometry: 0.000 eV per atom

Geometry as POSCAR:
```
AcNd6Dy2
1.0
-2.915 5.029 10.786
2.915 -5.029 10.786
2.915 5.029 -10.786
Ac Nd Dy
2 12 4
direct
0.250 0.250 0.000
0.750 0.750 0.000
0.004 0.338 0.668
0.080 0.080 0.000
0.171 0.838 0.334
0.329 0.663 0.668
0.420 0.420 0.000
0.496 0.163 0.334
0.504 0.837 0.666
0.580 0.580 0.000
0.671 0.337 0.332
0.829 0.162 0.666
0.920 0.920 0.000
0.996 0.662 0.332
0.167 0.498 0.665
0.333 0.998 0.332
0.667 0.002 0.668
0.833 0.502 0.335
```

***

Record 7
AcNdDy4: optimized geometry, PBE.

Results
- Calculated density: 7.94 Mg/m³
- Symmetry: C2/m, No. 12
- Crystal system: monoclinic
- Energy above the lowest structure with this stoichiometry: 0.175 eV per atom

Geometry as POSCAR:
```
AcNdDy4
1.0
6.066 -4.516 0.000
6.066 4.516 0.000
-5.588 0.000 7.801
Ac Nd Dy
2 2 8
direct
0.184 0.184 0.196
0.816 0.816 0.804
0.086 0.086 0.752
0.914 0.914 0.248
0.223 0.571 0.059
0.292 0.292 0.631
0.309 0.691 0.500
0.429 0.777 0.941
0.571 0.223 0.059
0.691 0.309 0.500
0.708 0.708 0.369
0.777 0.429 0.941
```

***

Record 8
AcNd7Dy2: optimized geometry, PBE.

Results
- Calculated density: 6.29 Mg/m³
- Symmetry: Cmmm, No. 65
- Crystal system: orthorhombic
- Energy above the lowest structure with this stoichiometry: 0.000 eV per atom

Geometry as POSCAR:
```
AcNd7Dy2
1.0
4.537 -7.659 0.000
4.537 7.659 0.000
0.000 0.000 5.931
Ac Nd Dy
1 7 2
direct
0.000 0.000 0.000
0.079 0.303 0.500
0.303 0.079 0.500
0.339 0.661 0.000
0.500 0.500 0.500
0.661 0.339 0.000
0.697 0.921 0.500
0.921 0.697 0.500
0.282 0.718 0.500
0.718 0.282 0.500
```

***

Record 9
Ac2Nd5Dy2: optimized geometry, PBE.

Results
- Calculated density: 7.49 Mg/m³
- Symmetry: C2/m, No. 12
- Crystal system: monoclinic

Geometry as POSCAR:
```
Ac2Nd5Dy2
1.0
9.159 -1.835 0.000
9.159 1.835 0.000
-2.412 0.000 9.900
Ac Nd Dy
2 5 2
direct
0.015 0.015 0.184
0.985 0.985 0.816
0.164 0.164 0.705
0.338 0.338 0.975
0.500 0.500 0.500
0.662 0.662 0.025
0.836 0.836 0.295
0.327 0.327 0.594
0.673 0.673 0.406
```

***

Record 10
Ac4NdDy5: optimized geometry, PBE.

Results
- Calculated density: 8.43 Mg/m³
- Symmetry: P4/mmm, No. 123
- Crystal system: tetragonal

Geometry as POSCAR:
```
Ac4NdDy5
1.0
3.816 0.000 0.000
0.000 3.816 0.000
0.000 0.000 25.242
Ac Nd Dy
4 1 5
direct
0.000 0.000 0.101
0.000 0.000 0.304
0.000 0.000 0.696
0.000 0.000 0.899
0.000 0.000 0.500
0.500 0.500 0.000
0.500 0.500 0.203
0.500 0.500 0.406
0.500 0.500 0.594
0.500 0.500 0.797
```

***

Record 11
Ac5Nd4Dy2: optimized geometry, PBE.

Results
- Calculated density: 7.75 Mg/m³
- Symmetry: P2/m, No. 10
- Crystal system: monoclinic

Geometry as POSCAR:
```
Ac5Nd4Dy2
1.0
9.392 0.000 0.000
0.000 3.700 0.000
-0.482 0.000 12.553
Ac Nd Dy
5 4 2
direct
0.000 0.000 0.000
0.198 0.000 0.526
0.286 0.000 0.819
0.714 0.000 0.181
0.802 0.000 0.474
0.077 0.500 0.267
0.461 0.500 0.354
0.539 0.500 0.646
0.923 0.500 0.733
0.347 0.000 0.120
0.653 0.000 0.880
```

***

Record 12
Ac2Nd9Dy: optimized geometry, PBE.

Results
- Calculated density: 7.28 Mg/m³
- Symmetry: P4/mmm, No. 123
- Crystal system: tetragonal

Geometry as POSCAR:
```
Ac2Nd9Dy
1.0
6.168 0.000 0.000
0.000 6.168 0.000
0.000 0.000 11.488
Ac Nd Dy
2 9 1
direct
0.000 0.000 0.170
0.000 0.000 0.830
0.000 0.500 0.000
0.000 0.500 0.342
0.000 0.500 0.658
0.500 0.000 0.000
0.500 0.000 0.342
0.500 0.000 0.658
0.500 0.500 0.163
0.500 0.500 0.500
0.500 0.500 0.837
0.000 0.000 0.500
```

***

| no. | energy relative to the elements (eV per atom) | D(E_F) (states/eV per atom) |
| --- | --- | --- |
| 1 | 0.191 | 1.51 |
| 2 | 0.215 | 1.41 |
| 3 | 0.036 | 1.51 |
| 4 | 0.079 | 1.66 |
| 5 | 0.234 | 1.51 |
| 6 | 0.055 | 1.36 |
| 7 | 0.235 | 1.56 |
| 8 | 0.594 | 1.72 |
| 9 | 0.106 | 1.47 |
| 10 | 0.051 | 1.48 |
| 11 | 0.159 | 1.84 |
| 12 | 0.116 | 2.24 |